1.
This record from the Alexandria database describes a relaxed YZrSc2 crystal. The functional is PBE.

Geometry as extended XYZ:
```
8
Lattice="4.422 0.000 0.000 0.000 4.422 0.000 2.211 2.211 10.878" Properties=species:S:1:pos:R:3 pbc="T T T"
Sc 3.376 1.105 2.720
Zr 0.000 0.000 0.000
Sc 5.527 5.587 8.159
Zr 4.422 2.211 5.439
Sc 3.316 3.257 8.159
Y 2.211 4.422 5.439
Sc 1.046 3.316 2.720
Y 2.211 2.211 0.000
```

Output
The calculation puts the calculated formation energy at 485 meV/atom. For the density of states at the Fermi level, the calculation gives 7.1 states/eV/f.u.

=====

2.
This record from the Alexandria database describes a relaxed YZrSc2 crystal. The functional is PBE.

Geometry as extended XYZ:
```
4
Lattice="-5.453 0.051 1.647 -4.222 -2.871 2.525 0.721 1.925 5.395" Properties=species:S:1:pos:R:3 pbc="T T T"
Sc 0.701 1.908 5.366
Y -4.463 -0.433 4.811
Zr -6.674 -0.640 7.223
Sc -2.274 -0.252 2.346
```

Output
The calculation puts the calculated formation energy at 73 meV/atom. For the density of states at the Fermi level, the calculation gives 6.5 states/eV/f.u.

=====

3.
This record from the Alexandria database describes a relaxed YZrSc2 crystal. The functional is PBE.

Geometry as extended XYZ:
```
4
Lattice="-0.288 -1.097 -3.546 0.642 -3.518 1.036 -7.426 -1.080 0.937" Properties=species:S:1:pos:R:3 pbc="T T T"
Sc -7.349 -1.069 0.927
Sc -1.412 -2.539 -1.054
Y -3.809 -0.554 0.480
Zr -5.641 -3.154 -0.521
```

Output
The calculation puts the calculated formation energy at 134 meV/atom. For the density of states at the Fermi level, the calculation gives 9.1 states/eV/f.u.

=====

4.
This record from the Alexandria database describes a relaxed Y2ZrSc crystal. The functional is PBE.

Geometry as extended XYZ:
```
4
Lattice="-0.292 -3.137 -1.323 4.423 -0.765 0.837 -1.650 -2.544 6.395" Properties=species:S:1:pos:R:3 pbc="T T T"
Y 1.615 -2.647 1.505
Sc 0.867 -3.800 4.405
Zr -0.853 -1.315 3.306
Y -1.621 -2.501 6.285
```

Output
The calculation puts the calculated formation energy at 77 meV/atom. For the density of states at the Fermi level, the calculation gives 5.0 states/eV/f.u.